[1]
A plane-wave DFT calculation with PBE was carried out for crystalline PmSmHoAl at its relaxed geometry.

Cell lengths 7.6606, 7.6606, 7.6606 Å; angles 90.00, 90.00, 90.00 degrees
With the nearest neighbours (Å) after each atom.
Space group F-43m (No. 216)
Asymmetric unit:
Pm: 0.0000 0.0000 0.0000 x4  4 Al 3.32, 4 Ho 3.32
Sm: 0.0000 0.0000 0.5000 x4  4 Ho 3.32, 4 Al 3.32
Ho: 0.2500 0.2500 0.2500 x4  4 Pm 3.32, 4 Sm 3.32
Al: 0.2500 0.2500 0.7500 x4  4 Sm 3.32, 4 Pm 3.32

Output
Density of states at the Fermi level: 27.10 states/eV per cell
Formation energy from the elements: -0.06 eV per atom
Calculated volume: 28.10 A^3/atom


[2]
A plane-wave DFT calculation with PBE was carried out for crystalline CdPd2Rh at its relaxed geometry.

Cell lengths 3.3348, 3.3348, 5.8634 Å; angles 90.00, 90.00, 90.00 degrees
With the nearest neighbours (Å) after each atom.
Space group P4/mmm (No. 123)
Asymmetric unit:
Cd: 0.0000 0.0000 0.0000 x1  8 Pd 2.82, 2 Rh 2.93
Pd: 0.5000 0.5000 0.2651 x2  4 Rh 2.73, 1 Pd 2.75, 4 Cd 2.82
Rh: 0.0000 0.0000 0.5000 x1  8 Pd 2.73, 2 Cd 2.93

Output
Density of states at the Fermi level: 4.01 states/eV per cell
Formation energy from the elements: -0.05 eV per atom
Calculated volume: 16.30 A^3/atom


[3]
A plane-wave DFT calculation with PBE was carried out for crystalline Tl7In3 at its relaxed geometry.

Cell lengths 16.6246, 5.5432, 6.7447 Å; angles 90.00, 106.01, 90.00 degrees
With the nearest neighbours (Å) after each atom.
Space group C2/m (No. 12)
Asymmetric unit:
Tl: 0.0000 0.0000 0.0000 x2  4 In 3.29-3.37, 4 Tl 3.39
Tl: 0.1009 0.5000 0.9054 x4  8 Tl 3.36-3.48, 2 In 3.75
Tl: 0.1035 0.5000 0.4084 x4  5 Tl 3.36-3.73, 5 In 3.41-3.45
Tl: 0.1994 0.0000 0.7664 x4  5 In 3.29-3.38, 3 Tl 3.45-3.48
In: 0.0000 0.0000 0.5000 x2  8 Tl 3.31-3.41
In: 0.1983 0.0000 0.2667 x4  8 Tl 3.29-3.45

Output
Density of states at the Fermi level: 8.59 states/eV per cell
Formation energy from the elements: 0.02 eV per atom
Calculated volume: 29.87 A^3/atom